(1)
PBE NiPbBr, optimized geometry; space-group type = P3m1 (156); formation energy (no corrections) = -0.0501 eV per atom; polymorph energy (0 for the lowest one) = 0 meV per atom; calculated total energy = -3.77 eV/atom
1.0
3.820 0.000 0.000
-1.910 3.309 0.000
0.000 0.000 5.611
Ni Pb Br
1 1 1
Cartesian
0.000 0.000 0.000
1.910 1.103 1.482
0.000 2.206 4.345

(2)
PBE NaPd2Au6, optimized geometry; space-group type = P-1 (2); calculated total energy = -3.59 eV/atom; ΔH_f (0 K) = -0.11 eV/atom
1.0
5.059 0.000 0.000
0.818 5.004 0.000
1.651 0.520 6.252
Na Pd Au
1 2 6
Cartesian
0.000 0.000 0.000
1.710 2.273 0.694
5.817 3.252 5.558
1.655 1.410 3.420
3.307 3.665 4.237
3.354 4.545 1.384
4.173 0.980 4.868
4.220 1.860 2.015
5.873 4.114 2.832

(3)
PBE Ca2Zn12GaNi3, optimized geometry; space-group type = R-3m (166); calculated total energy = -2.02 eV/atom; ΔH_f (0 K) = 0.18 eV/atom
1.0
4.224 2.439 6.220
-4.224 2.439 6.220
0.000 -4.878 6.220
Ca Zn Ga Ni
2 12 1 3
Cartesian
0.000 0.000 1.919
0.000 0.000 16.741
-2.135 -1.233 8.554
0.000 -2.229 6.205
-1.930 1.115 6.205
-1.930 -1.115 12.455
0.000 -2.466 10.105
-2.135 1.233 10.105
2.135 -1.233 8.554
0.000 2.466 8.554
1.930 1.115 6.205
1.930 -1.115 12.455
0.000 2.229 12.455
2.135 1.233 10.105
0.000 0.000 9.330
-2.112 -1.219 6.220
-2.112 1.219 12.440
0.000 2.439 6.220

(4)
PBE LaNbH, optimized geometry; space-group type = Amm2 (38); polymorph energy (0 for the lowest one) = 24 meV per atom; calculated total energy = -6.02 eV/atom
1.0
5.233 0.000 0.000
0.000 1.839 2.716
0.000 -1.839 2.716
La Nb H
1 1 1
Cartesian
0.000 0.000 0.000
2.617 0.000 2.630
2.617 0.000 0.645

(5)
PBE KAsPbBr2, optimized geometry; space-group type = P4/mmm (123); formation energy (no corrections) = 0.1084 eV per atom; polymorph energy (0 for the lowest one) = 602 meV per atom; calculated total energy = -2.45 eV/atom
1.0
5.766 0.000 0.000
0.000 5.766 0.000
0.000 0.000 6.047
K As Pb Br
1 1 1 2
Cartesian
0.000 0.000 0.000
0.000 0.000 3.023
2.883 2.883 3.023
0.000 2.883 0.000
2.883 0.000 0.000

(6)
PBE YSc2As2, optimized geometry; space-group type = P4/mbm (127); polymorph energy (0 for the lowest one) = 0 meV per atom; calculated total energy = -6.78 eV/atom; ΔH_f (0 K) = -1.10 eV/atom
1.0
7.549 0.000 0.000
0.000 7.549 0.000
0.000 0.000 3.749
Y Sc As
2 4 4
Cartesian
0.000 0.000 0.000
3.775 3.775 0.000
1.144 2.631 1.875
2.631 6.405 1.875
4.918 1.144 1.875
6.405 4.918 1.875
1.116 4.890 0.000
2.659 1.116 0.000
4.890 6.433 0.000
6.433 2.659 0.000

(7)
PBE Np3Tl4PtS8, optimized geometry; space-group type = C2/m (12); formation energy (no corrections) = -0.8152 eV per atom; calculated total energy = -6.27 eV/atom
1.0
7.090 -3.826 0.000
7.090 3.826 0.000
-4.377 0.000 7.674
Np Tl Pt S
3 4 1 8
Cartesian
0.000 0.000 0.000
3.545 1.913 0.000
3.545 -1.913 0.000
-2.188 0.000 3.837
1.357 1.913 3.837
1.357 -1.913 3.837
4.902 0.000 3.837
7.090 0.000 0.000
2.320 0.000 1.492
-0.140 0.000 5.956
5.986 1.704 1.330
3.818 1.704 6.344
5.986 -1.704 1.330
3.818 -1.704 6.344
9.944 0.000 1.718
7.484 0.000 6.182

Look up the calculated total energy of the first one.
-3.77 eV/atom

Which formula does entry 7 have?
Np3Tl4PtS8